Compound: CaCuTc2
Source: the Alexandria database
Functional: meta-GGA SCAN
Structure: PBEsol geometry

Cell: 6.2618 6.2618 6.2618 Å, 90.00 90.00 90.00°
Space group F-43m (No. 216)
Asymmetric unit:
Ca 0.0000 0.0000 0.0000
Cu 0.2500 0.2500 0.7500
Tc 0.0000 0.0000 0.5000
Tc 0.2500 0.2500 0.2500

Results
The final energy comes out at -23.3030 eV per atom. Its formation energy is 0.44 eV/atom. Its density of states at the Fermi level is 0.99 states/eV/atom. The calculated density is 8.11 g/cm³.



Compound: CeAlGe
Source: the Alexandria database
Functional: meta-GGA SCAN
Structure: PBEsol geometry

Cell: 4.1804 4.1804 14.6898 Å, 90.00 90.00 90.00°
Space group I4_1md (No. 109)
Asymmetric unit:
Ce 0.0000 0.0000 0.0000
Al 0.0000 0.0000 0.4165
Ge 0.0000 0.0000 0.5821

Results
The final energy comes out at -24.4874 eV per atom. Its formation energy is -0.69 eV/atom. Its density of states at the Fermi level is 0.78 states/eV/atom. The calculated density is 6.20 g/cm³.



Compound: Rb3SI
Source: the Alexandria database
Functional: meta-GGA SCAN
Structure: PBEsol geometry

Cell: 6.2316 6.2316 6.2316 Å, 90.00 90.00 90.00°
Space group Pm-3m (No. 221)
Asymmetric unit:
Rb 0.0000 0.0000 0.5000
S 0.0000 0.0000 0.0000
I 0.5000 0.5000 0.5000

Results
The final energy comes out at -23.0048 eV per atom. The value obtained for the raw formation energy is -1.29 eV per atom. Its density of states at the Fermi level is 0.00 states/eV/atom. The calculated density is 2.85 g/cm³.



Compound: NbBiN2Cl
Source: the Alexandria database
Functional: meta-GGA SCAN
Structure: PBEsol geometry

Cell: 4.2965 4.2965 5.1423 Å, 90.00 90.00 90.00°
Space group P4/mmm (No. 123)
Asymmetric unit:
Nb 0.0000 0.0000 0.0000
Bi 0.5000 0.5000 0.5000
N 0.0000 0.5000 0.5000
Cl 0.5000 0.5000 0.0000

Results
The final energy comes out at -25.9588 eV per atom. The value obtained for the raw formation energy is 1.70 eV per atom. Its density of states at the Fermi level is 0.59 states/eV/atom. The calculated density is 6.39 g/cm³.



Compound: SrLi2P2
Source: the Alexandria database
Functional: meta-GGA SCAN
Structure: PBEsol geometry

Cell: 4.1900 4.1900 10.2266 Å, 90.00 90.00 90.00°
Space group I4/mmm (No. 139)
Asymmetric unit:
Sr 0.0000 0.0000 0.0000
Li 0.0000 0.5000 0.2500
P 0.0000 0.0000 0.3885

Results
The final energy comes out at -10.5353 eV per atom. Its formation energy is -0.96 eV/atom. Its density of states at the Fermi level is 0.00 states/eV/atom. The calculated density is 3.02 g/cm³.



Compound: K2CaAl
Source: the Alexandria database
Functional: meta-GGA SCAN
Structure: PBEsol geometry

Cell: 4.0579 4.0579 37.2506 Å, 90.00 90.00 120.00°
Space group R3m (No. 160, hexagonal axes)
Asymmetric unit:
K 0.0000 0.0000 0.0000
K 0.0000 0.0000 0.2236
Ca 0.0000 0.0000 0.7643
Al 0.0000 0.0000 0.4872

Results
The final energy comes out at -8.2677 eV per atom. Its formation energy is 0.25 eV/atom. Its density of states at the Fermi level is 0.76 states/eV/atom. The calculated density is 1.36 g/cm³.



Question: Which value of final energy does entry 1 give?
Answer: -23.3030 eV per atom